i) The following is a PBE-GGA calculation of crystalline HfSc2Ru at its relaxed geometry, from Alexandria.

Results
DOS at the Fermi energy ... 0.93 states/eV/atom

Cell: 5.8717 6.7119 8.5765 Å, 90.00 90.00 90.00°
Closest atoms and distances in Å follow each position.
Sites, in units of the cell vectors:
Ru1 0.5348 0.1130 0.7500  2 Hf 2.54-2.65, 4 Sc 2.70-2.75
Ru2 0.4652 0.8870 0.2500  2 Hf 2.54-2.65, 4 Sc 2.70-2.75
Ru3 0.9652 0.6130 0.7500  2 Hf 2.54-2.65, 4 Sc 2.70-2.75
Ru4 0.0348 0.3870 0.2500  2 Hf 2.54-2.65, 4 Sc 2.70-2.75
Sc1 0.1708 0.6823 0.4419  3 Ru 2.70-2.94
Sc2 0.1708 0.6823 0.0581  3 Ru 2.70-2.94
Sc3 0.3292 0.1823 0.4419  3 Ru 2.70-2.94
Sc4 0.8292 0.3177 0.9419  3 Ru 2.70-2.94
Sc5 0.6708 0.8177 0.5581  3 Ru 2.70-2.94
Sc6 0.3292 0.1823 0.0581  3 Ru 2.70-2.94
Sc7 0.6708 0.8177 0.9419  3 Ru 2.70-2.94
Sc8 0.8292 0.3177 0.5581  3 Ru 2.70-2.94
Hf1 0.1160 0.9671 0.7500  2 Ru 2.54-2.65
Hf2 0.3840 0.4671 0.7500  2 Ru 2.54-2.65
Hf3 0.6160 0.5329 0.2500  2 Ru 2.54-2.65
Hf4 0.8840 0.0329 0.2500  2 Ru 2.54-2.65

---

ii) The following is a PBE-GGA calculation of crystalline HfSc2Ru at its relaxed geometry, from Alexandria.

Results
DOS at the Fermi energy ... 1.45 states/eV/atom

Cell: 4.7849 4.7849 4.7849 Å, 60.00 60.00 60.00°
Closest atoms and distances in Å follow each position.
Sites, in units of the cell vectors:
Ru1 0.0000 0.0000 0.0000  8 Sc 2.93
Hf1 0.5000 0.5000 0.5000  8 Sc 2.93
Sc1 0.2500 0.2500 0.2500  4 Hf 2.93, 4 Ru 2.93
Sc2 0.7500 0.7500 0.7500  4 Hf 2.93, 4 Ru 2.93

---

The most stable of them is i).

---

i) The following is a PBE-GGA calculation of crystalline HfSc3Ru at its relaxed geometry, from Alexandria.

Results
DOS at the Fermi energy ... 1.35 states/eV/atom

Cell: 6.6902 6.6902 6.7294 Å, 107.83 114.32 106.13°
Closest atoms and distances in Å follow each position.
Sites, in units of the cell vectors:
Hf1 0.7068 0.0584 0.7652  2 Ru 2.51-2.76
Hf2 0.2932 0.9416 0.2348  2 Ru 2.51-2.76
Sc1 0.7668 0.5720 0.7264  1 Ru 2.53
Sc2 0.1544 0.9596 0.7264  1 Ru 2.53
Sc3 0.2332 0.4280 0.2736  1 Ru 2.53
Sc4 0.7210 0.4463 0.1673  1 Ru 2.54
Sc5 0.2790 0.5537 0.8327  1 Ru 2.54
Sc6 0.8456 0.0404 0.2736  1 Ru 2.53
Ru1 0.6138 0.7527 0.3666  2 Hf 2.51-2.76, 3 Sc 2.53-2.54
Ru2 0.3862 0.2473 0.6334  2 Hf 2.51-2.76, 3 Sc 2.53-2.54

---

ii) The following is a PBE-GGA calculation of crystalline HfSc3Ru at its relaxed geometry, from Alexandria.

Results
DOS at the Fermi energy ... 1.91 states/eV/atom

Cell: 4.9456 4.9456 4.9456 Å, 90.00 90.00 90.00°
Closest atoms and distances in Å follow each position.
Sites, in units of the cell vectors:
Sc1 0.0000 0.5000 0.0000  2 Ru 2.47
Sc2 0.0000 0.0000 0.5000  2 Ru 2.47
Sc3 0.5000 0.0000 0.0000  2 Ru 2.47
Ru1 0.0000 0.0000 0.0000  6 Sc 2.47
Hf1 0.5000 0.5000 0.5000  12 Sc 3.50

---

iii) The following is a PBE-GGA calculation of crystalline HfSc3Ru at its relaxed geometry, from Alexandria.

Results
DOS at the Fermi energy ... 1.43 states/eV/atom

Cell: 4.9921 4.9921 4.9921 Å, 90.00 90.00 90.00°
Closest atoms and distances in Å follow each position.
Sites, in units of the cell vectors:
Sc1 0.5000 0.0000 0.0000  2 Hf 2.50
Sc2 0.0000 0.5000 0.0000  2 Hf 2.50
Sc3 0.0000 0.0000 0.5000  2 Hf 2.50
Hf1 0.0000 0.0000 0.0000  6 Sc 2.50
Ru1 0.5000 0.5000 0.5000  12 Sc 3.53

---

The most stable of them is i).

---

i) The following is a PBE-GGA calculation of crystalline HfScRu2 at its relaxed geometry, from Alexandria.

Results
DOS at the Fermi energy ... 0.46 states/eV/atom

Cell: 4.5554 4.5554 4.5554 Å, 60.00 60.00 60.00°
Closest atoms and distances in Å follow each position.
Sites, in units of the cell vectors:
Hf1 0.5000 0.5000 0.5000  8 Ru 2.79
Sc1 0.0000 0.0000 0.0000  8 Ru 2.79
Ru1 0.2500 0.2500 0.2500  4 Hf 2.79, 4 Sc 2.79
Ru2 0.7500 0.7500 0.7500  4 Sc 2.79, 4 Hf 2.79

---

ii) The following is a PBE-GGA calculation of crystalline HfScRu2 at its relaxed geometry, from Alexandria.

Results
DOS at the Fermi energy ... 1.18 states/eV/atom

Cell: 6.9783 6.9783 5.7631 Å, 52.74 52.74 90.00°
Closest atoms and distances in Å follow each position.
Sites, in units of the cell vectors:
Ru1 0.1234 0.6250 0.2500  2 Hf 2.57, 2 Sc 2.58
Ru2 0.8750 0.8766 0.7500  2 Hf 2.57, 2 Sc 2.58
Ru3 0.3750 0.3734 0.7500  2 Hf 2.57, 2 Sc 2.58
Ru4 0.6266 0.1250 0.2500  2 Hf 2.57, 2 Sc 2.58
Hf1 0.7500 0.2500 0.5000  4 Ru 2.57
Hf2 0.0000 0.0000 0.0000  4 Ru 2.57
Sc1 0.5000 0.5000 0.0000  4 Ru 2.58
Sc2 0.2500 0.7500 0.5000  4 Ru 2.58

---

The most stable of them is i).

---

i) The following is a PBE-GGA calculation of crystalline Hf2Sc2Ru at its relaxed geometry, from Alexandria.

Results
DOS at the Fermi energy ... 0.85 states/eV/atom

Cell: 3.7718 3.7718 8.2896 Å, 76.85 76.85 90.00°
Closest atoms and distances in Å follow each position.
Sites, in units of the cell vectors:
Ru1 0.0000 0.0000 0.0000  8 Sc 3.00
Hf1 0.2500 0.7500 0.5000  4 Hf 2.67
Hf2 0.7500 0.2500 0.5000  4 Hf 2.67
Sc1 0.5869 0.5869 0.8262  1 Sc 2.73, 4 Ru 3.00
Sc2 0.4131 0.4131 0.1738  1 Sc 2.73, 4 Ru 3.00

---

ii) The following is a PBE-GGA calculation of crystalline Hf2Sc2Ru at its relaxed geometry, from Alexandria.

Results
DOS at the Fermi energy ... 0.60 states/eV/atom

Cell: 6.4985 6.4985 4.9934 Å, 90.00 90.00 90.00°
Closest atoms and distances in Å follow each position.
Sites, in units of the cell vectors:
Ru1 0.0000 0.0000 0.0000  4 Sc 2.47
Ru2 0.5000 0.5000 0.0000  4 Sc 2.47
Sc1 0.1516 0.3484 0.0000  2 Ru 2.47
Sc2 0.6516 0.1516 0.0000  2 Ru 2.47
Sc3 0.8484 0.6516 0.0000  2 Ru 2.47
Sc4 0.3484 0.8484 0.0000  2 Ru 2.47
Hf1 0.8362 0.3362 0.5000  1 Hf 3.01, 6 Sc 3.02-3.23
Hf2 0.1638 0.6638 0.5000  1 Hf 3.01, 6 Sc 3.02-3.23
Hf3 0.6638 0.8362 0.5000  1 Hf 3.01, 6 Sc 3.02-3.23
Hf4 0.3362 0.1638 0.5000  1 Hf 3.01, 6 Sc 3.02-3.23

---

The most stable of them is ii).